(1)
DFT (GGA-PBE) results for a relaxed structure of Dy2Be3AgPt4.

Lattice parameters (Å, degrees): 3.978 3.978 10.479 90.00 90.00 90.00
Space group P-4m2 (No. 115)
One atom of each set of equivalent atoms:
Dy 0.000 0.500 0.237 [2 per cell]
Be 0.000 0.500 0.887 [2 per cell]
Be 0.500 0.500 0.500 [1 per cell]
Ag 0.000 0.000 0.500 [1 per cell]
Pt 0.000 0.000 0.000 [1 per cell]
Pt 0.000 0.500 0.670 [2 per cell]
Pt 0.500 0.500 0.000 [1 per cell]

Calculated values
V	166	Å³ per cell

---

(2)
DFT (GGA-PBE) results for a relaxed structure of TbDyBeAg.

Lattice parameters (Å, degrees): 7.106 7.106 7.106 90.00 90.00 90.00
Space group F-43m (No. 216)
One atom of each set of equivalent atoms:
Tb 0.000 0.000 0.000 [4 per cell]
Dy 0.000 0.000 0.500 [4 per cell]
Be 0.250 0.250 0.250 [4 per cell]
Ag 0.250 0.250 0.750 [4 per cell]

Calculated values
V	359	Å³ per cell

---

(3)
DFT (GGA-PBE) results for a relaxed structure of DyTmBeAg.

Lattice parameters (Å, degrees): 7.037 7.037 7.037 90.00 90.00 90.00
Space group F-43m (No. 216)
One atom of each set of equivalent atoms:
Dy 0.000 0.000 0.000 [4 per cell]
Tm 0.000 0.000 0.500 [4 per cell]
Be 0.250 0.250 0.250 [4 per cell]
Ag 0.250 0.250 0.750 [4 per cell]

Calculated values
V	348	Å³ per cell

---

(4)
DFT (GGA-PBE) results for a relaxed structure of DyYBeAg.

Lattice parameters (Å, degrees): 7.098 7.098 7.098 90.00 90.00 90.00
Space group F-43m (No. 216)
One atom of each set of equivalent atoms:
Dy 0.000 0.000 0.000 [4 per cell]
Y 0.000 0.000 0.500 [4 per cell]
Be 0.250 0.250 0.250 [4 per cell]
Ag 0.250 0.250 0.750 [4 per cell]

Calculated values
V	358	Å³ per cell

---

no.,energy of formation (eV per atom),total DFT energy (no corrections) (eV/atom)
1,-0.7988,-5.5385
2,-0.0581,-4.0106
3,-0.0739,-3.9867
4,-0.0685,-4.4794